Record 1
Below is Pr2Cu5Pd after structural relaxation, with properties calculated at the PBE level.

Computed properties:
- DFT total energy: -4.6609 eV per atom
- DOS(E_F): 10.60 states/eV per cell

Cell and atoms, written as POSCAR:
```
Pr2Cu5Pd
1.0
2.093 -7.882 0.000
2.093 7.882 0.000
0.000 0.000 8.975
Pr Cu Pd
4 10 2
Direct
0.000 0.000 0.000
0.000 0.000 0.500
0.204 0.796 0.750
0.796 0.204 0.250
0.179 0.821 0.115
0.179 0.821 0.385
0.341 0.659 0.016
0.341 0.659 0.484
0.396 0.604 0.750
0.604 0.396 0.250
0.659 0.341 0.516
0.659 0.341 0.984
0.821 0.179 0.615
0.821 0.179 0.885
0.440 0.560 0.250
0.560 0.440 0.750
```

Record 2
Below is PrCu6Pd6 after structural relaxation, with properties calculated at the PBE level.

Computed properties:
- DFT total energy: -4.9725 eV per atom
- DOS(E_F): 3.30 states/eV per cell

Cell and atoms, written as POSCAR:
```
PrCu6Pd6
1.0
-2.513 4.359 4.457
2.513 -4.359 4.457
2.513 4.359 -4.457
Pr Cu Pd
1 6 6
Direct
0.000 0.000 0.000
0.000 0.000 0.500
0.000 0.500 0.000
0.236 0.736 0.500
0.500 0.000 0.000
0.500 0.500 0.500
0.764 0.264 0.500
0.197 0.500 0.697
0.345 0.000 0.345
0.348 0.348 0.000
0.652 0.652 0.000
0.655 0.000 0.655
0.803 0.500 0.303
```

Record 3
Below is Pr2CuPd3 after structural relaxation, with properties calculated at the PBE level.

Computed properties:
- DFT total energy: -5.4938 eV per atom
- DOS(E_F): 5.63 states/eV per cell

Cell and atoms, written as POSCAR:
```
Pr2CuPd3
1.0
0.000 4.505 7.722
3.784 0.000 7.722
3.784 4.505 0.000
Pr Cu Pd
4 2 6
Direct
0.248 0.752 0.752
0.250 0.250 0.250
0.750 0.750 0.750
0.752 0.248 0.248
0.333 0.333 0.667
0.667 0.667 0.333
0.171 0.171 0.829
0.172 0.655 0.345
0.345 0.828 0.172
0.655 0.172 0.828
0.828 0.345 0.655
0.829 0.829 0.171
```

Record 4
Below is Pr2Cu2Pd3 after structural relaxation, with properties calculated at the PBE level.

Computed properties:
- DFT total energy: -5.2901 eV per atom
- DOS(E_F): 5.72 states/eV per cell

Cell and atoms, written as POSCAR:
```
Pr2Cu2Pd3
1.0
2.067 -9.473 0.000
2.067 9.473 0.000
0.000 0.000 7.282
Pr Cu Pd
4 4 6
Direct
0.063 0.937 0.750
0.160 0.840 0.250
0.840 0.160 0.750
0.937 0.063 0.250
0.303 0.697 0.052
0.303 0.697 0.448
0.697 0.303 0.552
0.697 0.303 0.948
0.221 0.779 0.750
0.435 0.565 0.563
0.435 0.565 0.937
0.565 0.435 0.063
0.565 0.435 0.437
0.779 0.221 0.250
```

Record 5
Below is Pr4Cu2Pd after structural relaxation, with properties calculated at the PBE level.

Computed properties:
- DFT total energy: -4.8268 eV per atom
- DOS(E_F): 8.61 states/eV per cell

Cell and atoms, written as POSCAR:
```
Pr4Cu2Pd
1.0
2.544 1.469 8.384
-2.544 1.469 8.384
0.000 -2.938 8.384
Pr Cu Pd
4 2 1
Direct
0.124 0.124 0.124
0.375 0.375 0.375
0.625 0.625 0.625
0.876 0.876 0.876
0.254 0.254 0.254
0.746 0.746 0.746
0.500 0.500 0.500
```

Record 6
Below is PrCu8Pd3 after structural relaxation, with properties calculated at the PBE level.

Computed properties:
- DFT total energy: -4.5879 eV per atom
- DOS(E_F): 3.42 states/eV per cell

Cell and atoms, written as POSCAR:
```
PrCu8Pd3
1.0
4.954 0.000 0.000
-2.477 4.291 0.000
0.000 0.000 8.132
Pr Cu Pd
1 8 3
Direct
0.000 0.000 0.000
0.165 0.330 0.672
0.165 0.835 0.672
0.333 0.667 0.432
0.333 0.667 0.931
0.503 0.007 0.198
0.503 0.497 0.198
0.670 0.835 0.672
0.993 0.497 0.198
0.000 0.000 0.381
0.667 0.333 0.497
0.667 0.333 0.849
```

> Which of these has the highest DOS(E_F)?

Pr2Cu5Pd

> DFT total energy of number 3 (Pr2CuPd3)?

-5.4938 eV per atom